No. 1
This record from the Alexandria database describes crystalline NaLi8Tl2 at its relaxed geometry. The functional is GGA-PBE.

As for the density: 3.3 g cm⁻³. The total magnetization comes out at 0.0 μB/cell. The value obtained for the energy relative to the elements is -5.9 kJ per mole of atoms. The calculation puts the volume at 22.23 A^3/atom.

a = 8.6695 Å, b = 11.4990 Å, c = 4.9052 Å
α = 90.00°, β = 90.44°, γ = 90.00°
With the nearest neighbours (Å) after each atom.
Space group C2/m (No. 12)
One atom of each set of equivalent atoms:
Na1 0.0000 0.0000 0.0000 [2 per cell]  12 Li 3.01-3.30
Li1 0.0000 0.2624 0.0000 [4 per cell]  2 Tl 2.75, 1 Na 3.02, 2 Li 3.03
Li2 0.1522 0.5000 0.9989 [4 per cell]  1 Li 2.64
Li3 0.1736 0.1398 0.5033 [8 per cell]  2 Tl 2.83-3.05, 2 Li 2.86-3.01
Tl1 0.0000 0.3704 0.5000 [4 per cell]  6 Li 2.75-3.05, 1 Tl 2.98


No. 2
This record from the Alexandria database describes crystalline Na3LiTl12 at its relaxed geometry. The functional is GGA-PBE.

As for the density: 9.2 g cm⁻³. The total magnetization comes out at 0.0 μB/cell. The value obtained for the energy relative to the elements is -7.0 kJ per mole of atoms. The calculation puts the volume at 28.42 A^3/atom.

a = 4.8942 Å, b = 4.8942 Å, c = 18.9850 Å
α = 90.00°, β = 90.00°, γ = 90.00°
With the nearest neighbours (Å) after each atom.
Space group P4/mmm (No. 123)
One atom of each set of equivalent atoms:
Na1 0.0000 0.0000 0.0000 [1 per cell]  12 Tl 3.43-3.46
Na2 0.0000 0.0000 0.2543 [2 per cell]  12 Tl 3.43-3.46
Li1 0.0000 0.0000 0.5000 [1 per cell]  12 Tl 3.33-3.46
Tl1 0.0000 0.5000 0.1267 [4 per cell]  8 Tl 3.43-3.46, 4 Na 3.43-3.44
Tl2 0.0000 0.5000 0.3811 [4 per cell]  8 Tl 3.33-3.46, 2 Li 3.33, 2 Na 3.43
Tl3 0.5000 0.5000 0.0000 [1 per cell]  8 Tl 3.43, 4 Na 3.46
Tl4 0.5000 0.5000 0.2530 [2 per cell]  8 Tl 3.43-3.45, 4 Na 3.46
Tl5 0.5000 0.5000 0.5000 [1 per cell]  8 Tl 3.33, 4 Li 3.46


No. 3
This record from the Alexandria database describes crystalline Na2LiTl8 at its relaxed geometry. The functional is GGA-PBE.

The value obtained for the relative energy among the computed polymorphs is 98 meV per atom. As for the density: 8.2 g cm⁻³. The total magnetization comes out at 0.0 μB/cell. The value obtained for the energy relative to the elements is 2.1 kJ per mole of atoms. The calculation puts the volume at 31.18 A^3/atom.

a = 12.5887 Å, b = 9.8856 Å, c = 5.8820 Å
α = 90.00°, β = 110.41°, γ = 90.00°
With the nearest neighbours (Å) after each atom.
Space group C2/m (No. 12)
One atom of each set of equivalent atoms:
Na1 0.1439 0.0000 0.0268 [4 per cell]  1 Li 2.99, 5 Tl 3.18-3.28
Li1 0.0000 0.0000 0.5000 [2 per cell]  6 Tl 2.94-3.10, 2 Na 2.99
Tl1 0.0820 0.2445 0.3282 [8 per cell]  1 Li 2.94, 2 Tl 3.16-3.22, 1 Na 3.25
Tl2 0.0867 0.5000 0.7983 [4 per cell]  1 Na 3.18, 4 Tl 3.22-3.43
Tl3 0.2398 0.5000 0.3805 [4 per cell]  1 Li 3.10, 5 Tl 3.16-3.34, 2 Na 3.21-3.28